Entry 1:
TlTcSb2: optimized geometry, GGA-PBE.

The structure in extended XYZ format:
```
16
Lattice="7.1157 0.0000 0.0000 0.0000 7.1157 0.0000 0.0000 0.0000 7.1157" Properties=species:S:1:pos:R:3 pbc="T T T"
Tl 0.0000 0.0000 0.0000
Tl 0.0000 3.5579 3.5579
Tl 3.5579 0.0000 3.5579
Tl 3.5579 3.5579 0.0000
Tc 0.0000 0.0000 3.5579
Tc 0.0000 3.5579 0.0000
Tc 3.5579 0.0000 0.0000
Tc 3.5579 3.5579 3.5579
Sb 1.7789 1.7789 1.7789
Sb 1.7789 1.7789 5.3368
Sb 1.7789 5.3368 1.7789
Sb 1.7789 5.3368 5.3368
Sb 5.3368 1.7789 1.7789
Sb 5.3368 1.7789 5.3368
Sb 5.3368 5.3368 1.7789
Sb 5.3368 5.3368 5.3368
```

Computed properties:
As for the energy relative to the lowest polymorph listed for this composition: 566 meV/atom. The uncorrected formation energy comes out at 582 meV/atom.

=====

Entry 2:
Zn2AgCl: optimized geometry, GGA-PBE.

The structure in extended XYZ format:
```
4
Lattice="3.2038 0.0000 0.0000 0.0000 3.0667 0.0000 -0.0364 0.0000 7.7199" Properties=species:S:1:pos:R:3 pbc="T T T"
Zn 0.0000 0.0000 0.0000
Zn 1.5402 1.5334 6.0639
Ag 3.1347 0.0000 4.3790
Cl 3.1696 1.5334 1.8527
```

Computed properties:
As for the energy relative to the lowest polymorph listed for this composition: 39 meV/atom. The uncorrected formation energy comes out at -134 meV/atom.

=====

Entry 3:
CaMoCl2: optimized geometry, GGA-PBE.

The structure in extended XYZ format:
```
4
Lattice="3.9806 0.0000 0.0000 0.0000 3.4666 0.0000 -1.9860 0.0000 6.7285" Properties=species:S:1:pos:R:3 pbc="T T T"
Ca 0.0000 0.0000 0.0000
Mo 1.9934 1.7333 1.8210
Cl 0.0036 1.7333 5.9979
Cl 1.9997 0.0000 3.5426
```

Computed properties:
As for the energy relative to the lowest polymorph listed for this composition: 32 meV/atom. The uncorrected formation energy comes out at -521 meV/atom.

=====

Entry 4:
Cs2Zn5As4: optimized geometry, GGA-PBE.

The structure in extended XYZ format:
```
11
Lattice="0.0000 6.2131 6.9268 3.2824 0.0000 6.9268 3.2824 6.2131 0.0000" Properties=species:S:1:pos:R:3 pbc="T T T"
Cs 3.2824 6.2131 2.0657
Cs 3.2824 6.2131 11.7879
Zn 1.6412 3.1066 0.0000
Zn 1.6412 3.1066 3.4634
Zn 1.6412 3.1066 6.9268
Zn 3.2824 6.2131 6.9268
Zn 4.9236 9.3197 10.3902
As 3.2824 4.2093 5.1750
As 3.2824 4.2093 8.6786
As 3.2824 8.2170 5.1750
As 3.2824 8.2170 8.6786
```

Computed properties:
Its formation energy is -0.145 eV per atom.

=====

Entry 5:
Tb2LuPa: optimized geometry, GGA-PBE.

The structure in extended XYZ format:
```
4
Lattice="4.9031 0.0000 0.0000 0.0000 4.9031 0.0000 0.0000 0.0000 4.8542" Properties=species:S:1:pos:R:3 pbc="T T T"
Tb 0.0000 2.4516 0.0000
Tb 2.4516 0.0000 0.0000
Lu 0.0000 0.0000 2.4271
Pa 2.4516 2.4516 2.4271
```

Computed properties:
Its formation energy is 0.206 eV per atom. As for the energy relative to the lowest polymorph listed for this composition: 71 meV/atom.

=====

Entry 6:
NaAgO2: optimized geometry, GGA-PBE.

The structure in extended XYZ format:
```
12
Lattice="3.2708 0.0000 0.0000 -1.6354 2.8326 0.0000 0.0000 0.0000 16.8927" Properties=species:S:1:pos:R:3 pbc="T T T"
Na 0.0000 0.0000 0.0000
Na 0.0000 1.8884 11.2618
Na 1.6354 0.9442 5.6309
Ag 0.0000 0.0000 13.9831
Ag 0.0000 1.8884 8.3522
Ag 1.6354 0.9442 2.7213
O 0.0000 0.0000 3.9548
O 0.0000 0.0000 7.1246
O 0.0000 1.8884 1.4937
O 0.0000 1.8884 15.2167
O 1.6354 0.9442 9.5858
O 1.6354 0.9442 12.7555
```

Computed properties:
The uncorrected formation energy comes out at -476 meV/atom.

=====

Entry 7:
MgV3H: optimized geometry, GGA-PBE.

The structure in extended XYZ format:
```
5
Lattice="3.9358 0.0000 0.0000 0.0000 3.9358 0.0000 0.0000 0.0000 3.9358" Properties=species:S:1:pos:R:3 pbc="T T T"
Mg 0.0000 0.0000 0.0000
V 0.0000 1.9679 1.9679
V 1.9679 0.0000 1.9679
V 1.9679 1.9679 0.0000
H 1.9679 1.9679 1.9679
```

Computed properties:
As for the energy relative to the lowest polymorph listed for this composition: 0 meV/atom.

=====

Entry 8:
Ag2PPt: optimized geometry, GGA-PBE.

The structure in extended XYZ format:
```
4
Lattice="2.8434 0.0000 0.0000 0.0000 4.8865 0.0000 -0.1726 0.0000 4.8469" Properties=species:S:1:pos:R:3 pbc="T T T"
Ag 0.6389 0.0000 1.2193
Ag 2.0319 0.0000 3.6276
P 1.3354 2.4432 2.4235
Pt 1.4217 2.4432 0.0000
```

Computed properties:
Its formation energy is 0.107 eV per atom.

=====

Number 1: DOS at the Fermi energy 3.5 states/eV/f.u.. Number 2: DOS at the Fermi energy 0.6 states/eV/f.u.. Number 3: DOS at the Fermi energy 1.4 states/eV/f.u.. Number 4: DOS at the Fermi energy 6.2 states/eV/f.u.. Number 5: DOS at the Fermi energy 4.5 states/eV/f.u.. Number 6: DOS at the Fermi energy 1.6 states/eV/f.u.. Number 7: DOS at the Fermi energy 8.0 states/eV/f.u.. Number 8: DOS at the Fermi energy 1.3 states/eV/f.u..